[1]
Computed, not measured: crystalline LiLa2SbO6 at its relaxed geometry at the PBEsol level of DFT.

Results
Raw total energy = -7.548 eV/atom

a = 5.586 Å, b = 5.734 Å, c = 9.669 Å
α = 90.00°, β = 124.92°, γ = 90.00°
Space group P2_1/c (No. 14)
One atom of each set of equivalent atoms:
Li  0.000  0.000  0.000 (multiplicity 2)
La  0.236  0.050  0.749 (multiplicity 4)
Sb  0.500  0.000  0.500 (multiplicity 2)
O  0.167  0.196  0.453 (multiplicity 4)
O  0.256  0.715  0.449 (multiplicity 4)
O  0.350  0.029  0.258 (multiplicity 4)

[2]
Computed, not measured: crystalline SrLiLaTi3O9 at its relaxed geometry at the PBEsol level of DFT.

Results
Raw total energy = -8.521 eV/atom

a = 5.4672 Å, b = 5.4672 Å, c = 6.7667 Å
α = 90.00°, β = 90.00°, γ = 120.00°
Space group P3m1 (No. 156)
One atom of each set of equivalent atoms:
Sr  0.0000  0.0000  0.0000 (multiplicity 1)
Li  0.6667  0.3333  0.4376 (multiplicity 1)
La  0.3333  0.6667  0.6595 (multiplicity 1)
Ti  0.0000  0.0000  0.4832 (multiplicity 1)
Ti  0.3333  0.6667  0.1676 (multiplicity 1)
Ti  0.6667  0.3333  0.8384 (multiplicity 1)
O  0.0144  0.5072  0.9655 (multiplicity 3)
O  0.1679  0.3358  0.3164 (multiplicity 3)
O  0.3370  0.1685  0.6437 (multiplicity 3)

[3]
Computed, not measured: crystalline LiLa3Ti4O12 at its relaxed geometry at the PBEsol level of DFT.

Results
Raw total energy = -8.890 eV/atom
Excess energy over the best structure of this formula in the dataset = 3.80 kJ per mole of atoms

a = 5.493 Å, b = 5.493 Å, c = 15.543 Å
α = 90.00°, β = 90.00°, γ = 90.00°
Space group I4/mmm (No. 139)
One atom of each set of equivalent atoms:
Li  0.000  0.000  0.000 (multiplicity 2)
La  0.000  0.000  0.248 (multiplicity 4)
La  0.000  0.000  0.500 (multiplicity 2)
Ti  0.000  0.500  0.123 (multiplicity 8)
O  0.000  0.500  0.000 (multiplicity 4)
O  0.000  0.500  0.250 (multiplicity 4)
O  0.245  0.245  0.371 (multiplicity 16)

[4]
Computed, not measured: crystalline LiLaTi2O6 at its relaxed geometry at the PBEsol level of DFT.

Results
Raw total energy = -8.612 eV/atom

a = 7.663 Å, b = 5.483 Å, c = 5.492 Å
α = 90.00°, β = 90.00°, γ = 90.00°
Space group Pmma (No. 51)
One atom of each set of equivalent atoms:
Li  0.000  0.000  0.000 (multiplicity 2)
La  0.250  0.500  0.494 (multiplicity 2)
Ti  0.000  0.000  0.500 (multiplicity 2)
Ti  0.000  0.500  0.000 (multiplicity 2)
O  0.024  0.259  0.742 (multiplicity 8)
O  0.250  0.000  0.451 (multiplicity 2)
O  0.250  0.500  0.053 (multiplicity 2)

[5]
Computed, not measured: crystalline LiLa4Ti3O12 at its relaxed geometry at the PBEsol level of DFT.

Results
Raw total energy = -8.849 eV/atom

a = 5.512 Å, b = 5.570 Å, c = 7.792 Å
α = 90.35°, β = 90.11°, γ = 90.27°
Space group P-1 (No. 2)
One atom of each set of equivalent atoms:
Li  0.000  0.000  0.000 (multiplicity 1)
La  0.009  0.452  0.238 (multiplicity 2)
La  0.494  0.967  0.240 (multiplicity 2)
Ti  0.000  0.000  0.500 (multiplicity 1)
Ti  0.500  0.500  0.000 (multiplicity 1)
Ti  0.500  0.500  0.500 (multiplicity 1)
O  0.080  0.980  0.740 (multiplicity 2)
O  0.216  0.695  0.039 (multiplicity 2)
O  0.222  0.719  0.455 (multiplicity 2)
O  0.281  0.222  0.458 (multiplicity 2)
O  0.303  0.214  0.038 (multiplicity 2)
O  0.425  0.488  0.748 (multiplicity 2)

[6]
Computed, not measured: crystalline LiLa3Ti4O12 at its relaxed geometry at the PBEsol level of DFT.

Results
Raw total energy = -8.930 eV/atom
Excess energy over the best structure of this formula in the dataset = 0.00 kJ per mole of atoms

a = 7.765 Å, b = 7.687 Å, c = 7.803 Å
α = 90.00°, β = 90.69°, γ = 90.00°
Space group Cm (No. 8)
One atom of each set of equivalent atoms:
Li  0.000  0.000  0.000 (multiplicity 2)
La  0.428  0.500  0.554 (multiplicity 2)
La  0.430  0.000  0.564 (multiplicity 2)
La  0.450  0.000  0.069 (multiplicity 2)
Ti  0.186  0.249  0.309 (multiplicity 4)
Ti  0.195  0.253  0.823 (multiplicity 4)
O  0.151  0.000  0.773 (multiplicity 2)
O  0.172  0.000  0.369 (multiplicity 2)
O  0.178  0.200  0.066 (multiplicity 4)
O  0.192  0.292  0.569 (multiplicity 4)
O  0.199  0.500  0.281 (multiplicity 2)
O  0.242  0.500  0.860 (multiplicity 2)
O  0.435  0.225  0.325 (multiplicity 4)
O  0.443  0.199  0.816 (multiplicity 4)

[7]
Computed, not measured: crystalline LiLaTiO4 at its relaxed geometry at the PBEsol level of DFT.

Results
Raw total energy = -8.318 eV/atom

a = 3.740 Å, b = 3.740 Å, c = 12.099 Å
α = 90.00°, β = 90.00°, γ = 90.00°
Space group P4/nmm (No. 129, origin choice 2)
One atom of each set of equivalent atoms:
Li  0.250  0.750  0.000 (multiplicity 2)
La  0.250  0.250  0.382 (multiplicity 2)
Ti  0.250  0.250  0.794 (multiplicity 2)
O  0.250  0.250  0.577 (multiplicity 2)
O  0.250  0.250  0.941 (multiplicity 2)
O  0.250  0.750  0.245 (multiplicity 4)

[8]
Computed, not measured: crystalline LiLaW2O8 at its relaxed geometry at the PBEsol level of DFT.

Results
Raw total energy = -8.895 eV/atom
Excess energy over the best structure of this formula in the dataset = 4.61 kJ per mole of atoms

a = 5.292 Å, b = 5.292 Å, c = 11.243 Å
α = 90.00°, β = 90.00°, γ = 90.00°
Space group I-4 (No. 82)
One atom of each set of equivalent atoms:
Li  0.000  0.000  0.000 (multiplicity 2)
La  0.000  0.500  0.750 (multiplicity 2)
W  0.000  0.000  0.500 (multiplicity 2)
W  0.000  0.500  0.250 (multiplicity 2)
O  0.152  0.259  0.162 (multiplicity 8)
O  0.158  0.765  0.589 (multiplicity 8)